[1]
First-principles (PBE) data for a relaxed structure of MgAlMoOs, as listed in Alexandria.

The calculation puts the density of states at the Fermi level at 0.61 states/eV/atom. The calculation puts the formation energy at -0.099 eV/atom.

The structure belongs to space group F-43m (No. 216); the cell edges are 6.228, 6.228 and 6.228 Å and the angles 90.00°, 90.00° and 90.00°. The distinct sites, in fractional coordinates, are Mg at (0.000, 0.000, 0.000), Al at (0.250, 0.250, 0.250), Mo at (0.250, 0.250, 0.750) and Os at (0.000, 0.000, 0.500).


[2]
First-principles (PBE) data for a relaxed structure of Mg2Al3MoS8, as listed in Alexandria.

The calculation puts the total energy at -5.208 eV per atom.

The structure belongs to space group R-3m (No. 166, hexagonal axes); the cell edges are 7.2402, 7.2402 and 18.0885 Å and the angles 90.00°, 90.00° and 120.00°. The distinct sites, in fractional coordinates, are Mg at (0.0000, 0.0000, 0.1265), Al at (0.0000, 0.5000, 0.0000), Mo at (0.0000, 0.0000, 0.5000), S at (0.0000, 0.0000, 0.2621) and S at (0.0294, 0.5147, 0.2565).


[3]
First-principles (PBE) data for a relaxed structure of MgAlMoSe2, as listed in Alexandria.

The calculation puts the density of states at the Fermi level at 0.45 states/eV/atom. The calculation puts the total energy at -4.347 eV per atom.

The structure belongs to space group P4/mmm (No. 123); the cell edges are 4.899, 4.899 and 5.222 Å and the angles 90.00°, 90.00° and 90.00°. The distinct sites, in fractional coordinates, are Mg at (0.000, 0.000, 0.000), Al at (0.500, 0.500, 0.000), Mo at (0.000, 0.000, 0.500) and Se at (0.000, 0.500, 0.500).


[4]
First-principles (PBE) data for a relaxed structure of MgAlSi2Mo, as listed in Alexandria.

The calculation puts the density of states at the Fermi level at 0.45 states/eV/atom. The calculation puts the total energy at -5.006 eV per atom.

The structure belongs to space group P4/mmm (No. 123); the cell edges are 4.738, 4.738 and 4.902 Å and the angles 90.00°, 90.00° and 90.00°. The distinct sites, in fractional coordinates, are Mg at (0.000, 0.000, 0.000), Al at (0.500, 0.500, 0.000), Si at (0.000, 0.500, 0.500) and Mo at (0.500, 0.500, 0.500).


[5]
First-principles (PBE) data for a relaxed structure of Mg2AlSiMo, as listed in Alexandria.

The calculation puts the density of states at the Fermi level at 0.57 states/eV/atom. The calculation puts the total energy at -3.635 eV per atom.

The structure belongs to space group P4/mmm (No. 123); the cell edges are 4.877, 4.877 and 4.774 Å and the angles 90.00°, 90.00° and 90.00°. The distinct sites, in fractional coordinates, are Mg at (0.000, 0.500, 0.000), Al at (0.000, 0.000, 0.500), Si at (0.000, 0.000, 0.000) and Mo at (0.500, 0.500, 0.500).


[6]
First-principles (PBE) data for a relaxed structure of Mg2AlTcMo, as listed in Alexandria.

The calculation puts the density of states at the Fermi level at 0.58 states/eV/atom. The calculation puts the formation energy at 1.141 eV/atom.

The structure belongs to space group P4/mmm (No. 123); the cell edges are 4.874, 4.874 and 4.654 Å and the angles 90.00°, 90.00° and 90.00°. The distinct sites, in fractional coordinates, are Mg at (0.000, 0.500, 0.000), Al at (0.000, 0.000, 0.500), Tc at (0.000, 0.000, 0.000) and Mo at (0.500, 0.500, 0.500).


[7]
First-principles (PBE) data for a relaxed structure of Mg2AlTeMo, as listed in Alexandria.

The calculation puts the density of states at the Fermi level at 0.58 states/eV/atom. The calculation puts the total energy at -3.525 eV per atom.

The structure belongs to space group P4/mmm (No. 123); the cell edges are 5.047, 5.047 and 4.830 Å and the angles 90.00°, 90.00° and 90.00°. The distinct sites, in fractional coordinates, are Mg at (0.000, 0.500, 0.000), Al at (0.000, 0.000, 0.000), Te at (0.500, 0.500, 0.500) and Mo at (0.000, 0.000, 0.500).


[8]
First-principles (PBE) data for a relaxed structure of Mg2AlN, as listed in Alexandria.

The energy above the most stable polymorph in this dataset is 0.755 eV per atom. The calculation puts the density of states at the Fermi level at 0.37 states/eV/atom.

The structure belongs to space group Fm-3m (No. 225); the cell edges are 6.394, 6.394 and 6.394 Å and the angles 90.00°, 90.00° and 90.00°. The distinct sites, in fractional coordinates, are Mg at (0.250, 0.250, 0.250), Al at (0.000, 0.000, 0.000) and N at (0.000, 0.000, 0.500).


[9]
First-principles (PBE) data for a relaxed structure of MgAlN2, as listed in Alexandria.

The energy above the most stable polymorph in this dataset is 0.741 eV per atom. The calculation puts the density of states at the Fermi level at 0.52 states/eV/atom.

The structure belongs to space group R-3m (No. 166, hexagonal axes); the cell edges are 3.2687, 3.2687 and 17.5580 Å and the angles 90.00°, 90.00° and 120.00°. The distinct sites, in fractional coordinates, are Mg at (0.0000, 0.0000, 0.0000), Al at (0.0000, 0.0000, 0.5000) and N at (0.0000, 0.0000, 0.4004).


[10]
First-principles (PBE) data for a relaxed structure of Mg2AlN, as listed in Alexandria.

The energy above the most stable polymorph in this dataset is 0.000 eV per atom. The calculation puts the density of states at the Fermi level at 0.04 states/eV/atom.

The structure belongs to space group I-42d (No. 122); the cell edges are 6.135, 6.135 and 8.296 Å and the angles 90.00°, 90.00° and 90.00°. The distinct sites, in fractional coordinates, are Mg at (0.112, 0.250, 0.125), Al at (0.000, 0.000, 0.500) and N at (0.000, 0.000, 0.000).


[11]
First-principles (PBE) data for a relaxed structure of MgAl3N, as listed in Alexandria.

The calculation puts the density of states at the Fermi level at 0.49 states/eV/atom. The calculation puts the total energy at -4.067 eV per atom.

The structure belongs to space group Pm-3m (No. 221); the cell edges are 4.230, 4.230 and 4.230 Å and the angles 90.00°, 90.00° and 90.00°. The distinct sites, in fractional coordinates, are Mg at (0.000, 0.000, 0.000), Al at (0.000, 0.500, 0.500) and N at (0.500, 0.500, 0.500).


[12]
First-principles (PBE) data for a relaxed structure of MgAlN2, as listed in Alexandria.

The energy above the most stable polymorph in this dataset is 0.799 eV per atom. The calculation puts the density of states at the Fermi level at 0.54 states/eV/atom.

The structure belongs to space group Fm-3m (No. 225); the cell edges are 5.300, 5.300 and 5.300 Å and the angles 90.00°, 90.00° and 90.00°. The distinct sites, in fractional coordinates, are Mg at (0.000, 0.000, 0.000), Al at (0.000, 0.000, 0.500) and N at (0.250, 0.250, 0.250).


What did the eleventh record say?
First-principles (PBE) data for a relaxed structure of MgAl3N, as listed in Alexandria.

The calculation puts the density of states at the Fermi level at 0.49 states/eV/atom. The calculation puts the total energy at -4.067 eV per atom.

The structure belongs to space group Pm-3m (No. 221); the cell edges are 4.230, 4.230 and 4.230 Å and the angles 90.00°, 90.00° and 90.00°. The distinct sites, in fractional coordinates, are Mg at (0.000, 0.000, 0.000), Al at (0.000, 0.500, 0.500) and N at (0.500, 0.500, 0.500).